*A*
Ag2PdRh | PBE | optimized geometry

## Properties
Its density of states at the Fermi level is 4.96 states/eV/f.u. As for the space-group type: I-42d, No. 122. The value obtained for the calculated volume is 145.1 Å³ per cell.

The structure in POSCAR format:
```
Ag2PdRh
1.0
-3.662 3.662 2.704
3.662 -3.662 2.704
3.662 3.662 -2.704
Ag Pd Rh
4 2 2
direct
0.124 0.625 0.999
0.375 0.374 0.499
0.626 0.125 0.001
0.875 0.876 0.501
0.250 0.750 0.500
0.500 0.500 0.000
0.000 0.000 0.000
0.750 0.250 0.500
```

***

*B*
Ag2PdRh | PBE | optimized geometry

## Properties
Its density of states at the Fermi level is 3.68 states/eV/f.u. As for the space-group type: R-3m, No. 166. The value obtained for the calculated volume is 68.1 Å³ per cell.

The structure in POSCAR format:
```
Ag2PdRh
1.0
1.385 0.800 10.251
-1.385 0.800 10.251
0.000 -1.599 10.251
Ag Pd Rh
2 1 1
direct
0.089 0.089 0.089
0.911 0.911 0.911
0.500 0.500 0.500
0.000 0.000 0.000
```

***

*B* comes first in stability; the runner-up is 303 meV/atom higher.

***

*A*
AgPd6Rh | PBE | optimized geometry

## Properties
Its density of states at the Fermi level is 12.78 states/eV/f.u. As for the space-group type: P4/mmm, No. 123. The value obtained for the calculated volume is 124.2 Å³ per cell.

The structure in POSCAR format:
```
AgPd6Rh
1.0
3.962 0.000 0.000
0.000 3.962 0.000
0.000 0.000 7.915
Ag Pd Rh
1 6 1
direct
0.000 0.000 0.000
0.000 0.500 0.256
0.000 0.500 0.744
0.500 0.000 0.256
0.500 0.000 0.744
0.500 0.500 0.000
0.500 0.500 0.500
0.000 0.000 0.500
```

***

*B*
AgPd6Rh | PBE | optimized geometry

## Properties
Its density of states at the Fermi level is 13.52 states/eV/f.u. As for the space-group type: C2/m, No. 12. The value obtained for the calculated volume is 124.3 Å³ per cell.

The structure in POSCAR format:
```
AgPd6Rh
1.0
4.438 -1.972 0.000
4.438 1.972 0.000
-3.551 0.000 7.100
Ag Pd Rh
1 6 1
direct
0.000 0.000 0.000
0.248 0.248 0.871
0.251 0.251 0.378
0.498 0.498 0.256
0.502 0.502 0.744
0.749 0.749 0.622
0.752 0.752 0.129
0.000 0.000 0.500
```

***

*A* comes first in stability; the runner-up is 9 meV/atom higher.

***

*A*
AgPd3Rh | PBE | optimized geometry

## Properties
Its density of states at the Fermi level is 7.06 states/eV/f.u. As for the space-group type: C2/m, No. 12. The value obtained for the calculated volume is 167.9 Å³ per cell.

The structure in POSCAR format:
```
AgPd3Rh
1.0
5.016 -2.074 0.000
5.016 2.074 0.000
-0.351 0.000 8.071
Ag Pd Rh
2 6 2
direct
0.124 0.124 0.405
0.876 0.876 0.595
0.079 0.079 0.849
0.402 0.402 0.380
0.407 0.407 0.846
0.593 0.593 0.154
0.598 0.598 0.620
0.921 0.921 0.151
0.255 0.255 0.101
0.745 0.745 0.899
```

***

*B*
AgPd3Rh | PBE | optimized geometry

## Properties
Its density of states at the Fermi level is 5.85 states/eV/f.u. As for the space-group type: Pm-3m, No. 221. The value obtained for the calculated volume is 111.3 Å³ per cell.

The structure in POSCAR format:
```
AgPd3Rh
1.0
4.811 0.000 0.000
0.000 4.811 0.000
0.000 0.000 4.811
Ag Pd Rh
1 3 1
direct
0.000 0.000 0.000
0.000 0.500 0.500
0.500 0.000 0.500
0.500 0.500 0.000
0.500 0.500 0.500
```

***

*A* comes first in stability; the runner-up is 821 meV/atom higher.